Entry from Alexandria via LeMat-Bulk: CeGa3Os after structural relaxation (PBE-GGA).

Output
V, Å³ per cell: 205.6
Spin magnetization, μB/atom: 0.26
DOS at the Fermi energy, states/eV per atom: 0.654
Polymorph energy (0 for the lowest one), kJ per mole of atoms: 47.9
Symmetry: No. 63
Crystal system: orthorhombic
Calculated density, g/cm³: 8.7

Structure (extended XYZ):
```
10
Lattice="3.5544 -5.7966 0.0000 3.5544 5.7966 0.0000 0.0000 0.0000 4.9886" Properties=species:S:1:pos:R:3 pbc="T T T"
Ce 3.5544 4.9973 3.7415
Ce 3.5544 -4.9973 1.2472
Ga 2.3828 3.0743 1.2472
Ga 4.7259 3.0743 1.2472
Ga 3.5544 0.0000 0.0000
Ga 3.5544 0.0000 2.4943
Ga 2.3828 -3.0743 3.7415
Ga 4.7259 -3.0743 3.7415
Os 3.5544 2.0892 3.7415
Os 3.5544 -2.0892 1.2472
```